Below is a relaxed structure of Ho2TmHfAs4, with properties calculated at the PBE level.

Calculated density in kg/m³: 8886
D(E_F) in states/eV/f.u.: 1.33
DFT formation energy in meV/atom: -1393

Cell: 6.946 4.007 6.949 Å, 90.00 109.28 90.00°
Space group P2/m (No. 10)
Unique sites:
Ho 0.000 0.000 0.000 (multiplicity 1)
Ho 0.500 0.500 0.000 (multiplicity 1)
Tm 0.000 0.500 0.500 (multiplicity 1)
Hf 0.500 0.000 0.500 (multiplicity 1)
As 0.254 0.000 0.742 (multiplicity 2)
As 0.261 0.500 0.262 (multiplicity 2)


Below is a relaxed structure of HoHfU2As4, with properties calculated at the PBE level.

Calculated density in kg/m³: 10137
D(E_F) in states/eV/f.u.: 6.88
DFT formation energy in meV/atom: -1004

Cell: 6.906 3.986 7.045 Å, 90.00 109.01 90.00°
Space group P2/m (No. 10)
Unique sites:
Ho 0.000 0.000 0.000 (multiplicity 1)
Hf 0.500 0.500 0.000 (multiplicity 1)
U 0.000 0.500 0.500 (multiplicity 1)
U 0.500 0.000 0.500 (multiplicity 1)
As 0.256 0.500 0.243 (multiplicity 2)
As 0.262 0.000 0.763 (multiplicity 2)


Below is a relaxed structure of Ho2HfUAs4, with properties calculated at the PBE level.

Calculated density in kg/m³: 9445
D(E_F) in states/eV/f.u.: 7.23
DFT formation energy in meV/atom: -1180

Cell: 6.946 4.007 6.991 Å, 90.00 109.07 90.00°
Space group P2/m (No. 10)
Unique sites:
Ho 0.000 0.000 0.000 (multiplicity 1)
Ho 0.500 0.500 0.000 (multiplicity 1)
Hf 0.000 0.500 0.500 (multiplicity 1)
U 0.500 0.000 0.500 (multiplicity 1)
As 0.239 0.000 0.738 (multiplicity 2)
As 0.244 0.500 0.256 (multiplicity 2)


Below is a relaxed structure of Y2HoHfAs4, with properties calculated at the PBE level.

Calculated density in kg/m³: 7346
D(E_F) in states/eV/f.u.: 1.43
DFT formation energy in meV/atom: -1408

Cell: 6.983 4.029 6.987 Å, 90.00 109.27 90.00°
Space group P2/m (No. 10)
Unique sites:
Y 0.000 0.000 0.000 (multiplicity 1)
Y 0.500 0.500 0.000 (multiplicity 1)
Ho 0.000 0.500 0.500 (multiplicity 1)
Hf 0.500 0.000 0.500 (multiplicity 1)
As 0.256 0.000 0.742 (multiplicity 2)
As 0.262 0.500 0.264 (multiplicity 2)


Below is a relaxed structure of Ho2HfZrAs4, with properties calculated at the PBE level.

Calculated density in kg/m³: 8471
D(E_F) in states/eV/f.u.: 4.03
DFT formation energy in meV/atom: -1283

Cell: 6.845 3.946 6.915 Å, 90.00 109.32 90.00°
Space group P2/m (No. 10)
Unique sites:
Ho 0.000 0.000 0.000 (multiplicity 1)
Ho 0.500 0.500 0.000 (multiplicity 1)
Hf 0.000 0.500 0.500 (multiplicity 1)
Zr 0.500 0.000 0.500 (multiplicity 1)
As 0.243 0.000 0.736 (multiplicity 2)
As 0.252 0.500 0.263 (multiplicity 2)


Below is a relaxed structure of Hf2As2I, with properties calculated at the PBE level.

Calculated density in kg/m³: 8551
D(E_F) in states/eV/f.u.: 3.18
Offset from the most stable computed form in meV per atom: 176
Formation energy without anion corrections in eV/atom: -0.471

Cell: 4.836 4.836 10.525 Å, 90.00 90.00 90.00°
Space group I4/mmm (No. 139)
Unique sites:
Hf 0.000 0.500 0.250 (multiplicity 4)
As 0.000 0.000 0.143 (multiplicity 4)
I 0.000 0.000 0.500 (multiplicity 2)


Below is a relaxed structure of Hf2As2I, with properties calculated at the PBE level.

Calculated density in kg/m³: 9830
D(E_F) in states/eV/f.u.: 1.69
Offset from the most stable computed form in meV per atom: 0
Formation energy without anion corrections in eV/atom: -0.648

Cell: 7.795 7.795 3.524 Å, 90.00 90.00 90.00°
Space group P4/mbm (No. 127)
Unique sites:
Hf 0.144 0.356 0.000 (multiplicity 4)
As 0.138 0.638 0.500 (multiplicity 4)
I 0.000 0.000 0.000 (multiplicity 2)


Below is a relaxed structure of HfAs3I, with properties calculated at the PBE level.

Calculated density in kg/m³: 6241
D(E_F) in states/eV/f.u.: 1.61
Offset from the most stable computed form in meV per atom: 0
Formation energy without anion corrections in eV/atom: 0.225

Cell: 5.205 5.205 5.205 Å, 90.00 90.00 90.00°
Space group Pm-3m (No. 221)
Unique sites:
Hf 0.000 0.000 0.000 (multiplicity 1)
As 0.000 0.000 0.500 (multiplicity 3)
I 0.500 0.500 0.500 (multiplicity 1)